First-principles (PBE with a Hubbard U) data for a geometry-optimized Li7Cr2O8 structure, as listed in Alexandria via LeMat-Bulk.

Computed properties:
- Symmetry: P1, No. 1
- DFT total energy: -5.819 eV/atom

Cell: 5.223 5.232 7.812 Å, 70.54 82.28 67.77°
Fractional positions:
Li1 0.000 0.000 0.000
Li2 0.012 0.283 0.582
Li3 0.468 0.550 0.987
Li4 0.491 0.704 0.561
Li5 0.504 0.984 0.206
Li6 0.944 0.563 0.808
Li7 0.968 0.813 0.464
Cr1 0.513 0.148 0.768
Cr2 0.939 0.380 0.233
O1 0.075 0.570 0.040
O2 0.180 0.083 0.380
O3 0.243 0.471 0.638
O4 0.395 0.954 0.981
O5 0.681 0.904 0.642
O6 0.742 0.229 0.170
O7 0.758 0.299 0.799
O8 0.781 0.611 0.364